! K3RbZr (PBE, relaxed); values from VASP
! Symmetry: Pm-3m (221)
! Calculated total energy, hartree per atom: -0.062
! Theoretical density, kg/m3: 1409
! ΔE to the lowest computed polymorph, eV/atom: 0.000
! E_form, eV per atom: 0.880
&SYSTEM
  ibrav = 0, nat = 5, ntyp = 3
/
ATOMIC_SPECIES
K 39.10 K.upf
Zr 91.22 Zr.upf
Rb 85.47 Rb.upf
CELL_PARAMETERS angstrom
7.024 0.000 0.000
0.000 7.024 0.000
0.000 0.000 7.024
ATOMIC_POSITIONS crystal
K 0.500 0.000 0.000
Zr 0.000 0.000 0.000
K 0.000 0.000 0.500
K 0.000 0.500 0.000
Rb 0.500 0.500 0.500